Entry from Alexandria: a relaxed La2PrSm5 crystal (GGA-PBE).

Total DFT energy (no corrections) in eV/f.u.: -37.2
DOS at the Fermi energy in states/eV per cell: 52.41
Volume in Å³ per atom: 35.6

Cell: 5.7527 12.0722 16.4081 Å, 90.00 90.00 90.00°
Space group Cmcm (No. 63)
Asymmetric unit:
La (0.0000, 0.2187, 0.1286) [8 per cell]
Pr (0.0000, 0.2590, 0.7500) [4 per cell]
Sm (0.0000, 0.0787, 0.5893) [8 per cell]
Sm (0.0000, 0.3828, 0.5508) [8 per cell]
Sm (0.0000, 0.4625, 0.2500) [4 per cell]